1.
A geometry-optimized InP2Br structure, computed with PBE-GGA.

calculated volume: 21.291 Å³ per atom
uncorrected formation energy: 0.509 eV per atom
density: 5.00 Mg/m³

Lattice parameters (Å, degrees): 6.1434 6.1434 6.1434 148.84 134.38 56.28
Closest atoms and distances in Å follow each position.
Sites, in units of the cell vectors:
1 Br 0.7500 0.2500 0.5000  4 In 2.90
2 P 0.0316 0.0316 0.0000  2 In 2.88, 4 P 2.98
3 P 0.4684 0.4684 0.0000  2 In 2.88, 4 P 2.98
4 In 0.2500 0.7500 0.5000  4 P 2.88, 4 Br 2.90

2.
A geometry-optimized CrMoCl2 structure, computed with PBE-GGA.

calculated volume: 19.821 Å³ per atom
uncorrected formation energy: 0.040 eV per atom
density: 4.58 Mg/m³

Lattice parameters (Å, degrees): 3.1105 3.1105 9.4448 90.00 90.00 119.82
Closest atoms and distances in Å follow each position.
Sites, in units of the cell vectors:
1 Cl 0.0000 0.0000 0.9344  2 Mo 2.45
2 Cl 0.5000 0.5000 0.3229  2 Cr 2.34
3 Cr 0.0000 0.0000 0.5079  2 Cl 2.34
4 Mo 0.5000 0.5000 0.7348  2 Cl 2.45, 2 Cr 2.65

3.
A geometry-optimized UCr2CN structure, computed with PBE-GGA.

calculated volume: 11.298 Å³ per atom
uncorrected formation energy: -0.495 eV per atom
density: 10.82 Mg/m³

Lattice parameters (Å, degrees): 3.1396 5.4625 6.8782 90.00 90.00 106.70
Closest atoms and distances in Å follow each position.
Sites, in units of the cell vectors:
1 U 0.5389 0.0778 0.2500  4 N 2.36
2 U 0.4611 0.9222 0.7500  4 N 2.36
3 Cr 0.8175 0.6350 0.0653  1 N 1.96, 2 C 2.15
4 Cr 0.8175 0.6350 0.4347  1 N 1.96, 2 C 2.15
5 Cr 0.1825 0.3650 0.9347  1 N 1.96, 2 C 2.15
6 Cr 0.1825 0.3650 0.5653  1 N 1.96, 2 C 2.15
7 C 0.2470 0.4940 0.2500  6 Cr 2.15-2.27
8 C 0.7530 0.5060 0.7500  6 Cr 2.15-2.27
9 N 0.0000 0.0000 0.5000  2 Cr 1.96
10 N 0.0000 0.0000 0.0000  2 Cr 1.96

4.
A geometry-optimized LaTl2SiBr structure, computed with PBE-GGA.

calculated volume: 30.449 Å³ per atom
uncorrected formation energy: 0.126 eV per atom
density: 7.15 Mg/m³

Lattice parameters (Å, degrees): 5.2925 5.4353 5.2925 90.00 90.00 90.00
Closest atoms and distances in Å follow each position.
Sites, in units of the cell vectors:
1 Tl 0.0000 0.0000 0.5000  2 Si 2.65
2 Tl 0.5000 0.0000 0.0000  2 Si 2.65
3 Si 0.0000 0.0000 0.0000  4 Tl 2.65, 2 Br 2.72
4 Br 0.0000 0.5000 0.0000  2 Si 2.72
5 La 0.5000 0.5000 0.5000  4 Br 3.74, 8 Tl 3.79

5.
A geometry-optimized LiYMgCl6 structure, computed with PBE-GGA.

calculated volume: 24.661 Å³ per atom
uncorrected formation energy: -2.005 eV per atom
density: 2.49 Mg/m³

Lattice parameters (Å, degrees): 6.5694 6.5694 11.8768 90.00 90.00 120.00
Closest atoms and distances in Å follow each position.
Sites, in units of the cell vectors:
1 Cl 0.9851 0.6488 0.3713  1 Mg 2.53, 1 Y 2.66, 1 Li 2.73
2 Cl 0.6637 0.0149 0.3713  1 Mg 2.53, 1 Y 2.66, 1 Li 2.73
3 Cl 0.3512 0.0149 0.1287  1 Mg 2.53, 1 Y 2.66, 1 Li 2.73
4 Cl 0.6637 0.6488 0.1287  1 Mg 2.53, 1 Y 2.66, 1 Li 2.73
5 Cl 0.0149 0.3512 0.6287  1 Mg 2.53, 1 Y 2.66, 1 Li 2.73
6 Cl 0.3363 0.3512 0.8713  1 Mg 2.53, 1 Y 2.66, 1 Li 2.73
7 Cl 0.6488 0.6637 0.6287  1 Mg 2.53, 1 Y 2.66, 1 Li 2.73
8 Cl 0.0149 0.6637 0.8713  1 Mg 2.53, 1 Y 2.66, 1 Li 2.73
9 Cl 0.9851 0.3363 0.1287  1 Mg 2.53, 1 Y 2.66, 1 Li 2.73
10 Cl 0.3512 0.3363 0.3713  1 Mg 2.53, 1 Y 2.66, 1 Li 2.73
11 Cl 0.3363 0.9851 0.6287  1 Mg 2.53, 1 Y 2.66, 1 Li 2.73
12 Cl 0.6488 0.9851 0.8713  1 Mg 2.53, 1 Y 2.66, 1 Li 2.73
13 Li 0.0000 0.0000 0.0000  6 Cl 2.73
14 Li 0.0000 0.0000 0.5000  6 Cl 2.73
15 Mg 0.6667 0.3333 0.2500  6 Cl 2.53
16 Mg 0.3333 0.6667 0.7500  6 Cl 2.53
17 Y 0.3333 0.6667 0.2500  6 Cl 2.66
18 Y 0.6667 0.3333 0.7500  6 Cl 2.66

6.
A geometry-optimized ZrHg2Br structure, computed with PBE-GGA.

calculated volume: 26.201 Å³ per atom
uncorrected formation energy: -0.386 eV per atom
density: 9.07 Mg/m³

Lattice parameters (Å, degrees): 10.3095 10.3095 10.3095 19.32 19.32 19.32
Closest atoms and distances in Å follow each position.
Sites, in units of the cell vectors:
1 Br 0.2310 0.2310 0.2310  3 Zr 2.76
2 Zr 0.5015 0.5015 0.5015  3 Br 2.76, 3 Hg 3.04
3 Hg 0.7591 0.7591 0.7591  3 Zr 3.04, 3 Hg 3.24
4 Hg 0.0084 0.0084 0.0084  9 Hg 3.24-3.46

7.
A geometry-optimized NaTl2Pb4 structure, computed with PBE-GGA.

formation energy from the elements: 0.359 eV/atom
calculated volume: 35.751 Å³ per atom
density: 8.36 Mg/m³

Lattice parameters (Å, degrees): 5.6461 5.6461 8.8072 108.70 108.70 90.00
Closest atoms and distances in Å follow each position.
Sites, in units of the cell vectors:
1 Pb 0.0000 0.5000 0.0000  2 Na 2.82
2 Pb 0.5000 0.0000 0.0000  2 Na 2.82
3 Pb 0.1877 0.1877 0.3754  1 Na 2.95, 1 Tl 3.08
4 Pb 0.8123 0.8123 0.6246  1 Na 2.95, 1 Tl 3.08
5 Tl 0.3840 0.3840 0.7679  5 Pb 3.08-3.36
6 Tl 0.6160 0.6160 0.2321  5 Pb 3.08-3.36
7 Na 0.0000 0.0000 0.0000  6 Pb 2.82-2.95

8.
A geometry-optimized LiTcPd3 structure, computed with PBE-GGA.

formation energy from the elements: 0.852 eV/atom
calculated volume: 22.232 Å³ per atom
density: 6.34 Mg/m³

Lattice parameters (Å, degrees): 4.8082 4.8082 4.8082 90.00 90.00 90.00
Closest atoms and distances in Å follow each position.
Sites, in units of the cell vectors:
1 Li 0.5000 0.5000 0.5000  12 Pd 3.40
2 Pd 0.5000 0.0000 0.0000  2 Tc 2.40
3 Pd 0.0000 0.5000 0.0000  2 Tc 2.40
4 Pd 0.0000 0.0000 0.5000  2 Tc 2.40
5 Tc 0.0000 0.0000 0.0000  6 Pd 2.40

9.
A geometry-optimized Na4Pu3OsN8 structure, computed with PBE-GGA.

calculated volume: 13.679 Å³ per atom
uncorrected formation energy: -0.515 eV per atom
density: 8.54 Mg/m³

Lattice parameters (Å, degrees): 6.6801 6.8548 6.6783 119.17 120.01 90.00
Closest atoms and distances in Å follow each position.
Sites, in units of the cell vectors:
1 Na 0.5000 0.0000 0.5000  6 N 2.59-2.61
2 Na 0.0000 0.0000 0.0000  6 N 2.59-2.61
3 Na 0.5000 0.0000 0.0000  6 N 2.68
4 Na 0.0000 0.0000 0.5000  6 N 2.59-2.61
5 Pu 0.0000 0.5000 0.5000  6 N 2.21-2.24
6 Pu 0.5000 0.5000 0.5000  6 N 2.21-2.24
7 Pu 0.5000 0.5000 0.0000  6 N 2.21-2.24
8 N 0.7780 0.3130 0.0349  1 Os 2.13, 2 Pu 2.24
9 N 0.2220 0.6871 0.4441  1 Os 2.13, 2 Pu 2.24
10 N 0.7431 0.6870 0.9651  1 Os 2.13, 2 Pu 2.24
11 N 0.2569 0.3130 0.0349  1 Os 2.13, 2 Pu 2.24
12 N 0.7301 0.6900 0.4602  3 Pu 2.21
13 N 0.7780 0.3129 0.5559  1 Os 2.13, 2 Pu 2.24
14 N 0.2699 0.3100 0.5398  3 Pu 2.21
15 N 0.2220 0.6870 0.9651  1 Os 2.13, 2 Pu 2.24
16 Os 0.0000 0.5000 0.0000  6 N 2.13

10.
A geometry-optimized Sr3Sb4Pd4 structure, computed with PBE-GGA.

calculated volume: 26.064 Å³ per atom
uncorrected formation energy: -0.846 eV per atom
density: 6.81 Mg/m³

Lattice parameters (Å, degrees): 4.6250 4.6780 13.6477 80.21 80.31 89.99
Closest atoms and distances in Å follow each position.
Sites, in units of the cell vectors:
1 Pd 0.7516 0.7496 0.4994  4 Sb 2.69-2.72
2 Pd 0.2484 0.2504 0.5006  4 Sb 2.69-2.72
3 Pd 0.4008 0.9020 0.1970  3 Sb 2.61-2.63
4 Pd 0.5992 0.0980 0.8030  3 Sb 2.61-2.63
5 Sb 0.4426 0.4453 0.1100  2 Pd 2.61, 1 Sb 2.91
6 Sb 0.3030 0.8025 0.3953  5 Pd 2.63-2.72
7 Sb 0.6971 0.1975 0.6047  5 Pd 2.63-2.72
8 Sb 0.5574 0.5548 0.8900  2 Pd 2.61, 1 Sb 2.91
9 Sr 0.1521 0.6518 0.6969  6 Sb 3.45-3.51, 8 Pd 3.49-3.58
10 Sr 0.8479 0.3483 0.3031  6 Sb 3.45-3.51, 8 Pd 3.49-3.58
11 Sr 0.0000 0.0000 0.0000  4 Pd 3.48-3.49, 8 Sb 3.59-3.61

11.
A geometry-optimized La6Tl3Au structure, computed with PBE-GGA.

formation energy from the elements: -0.401 eV/atom
calculated volume: 31.351 Å³ per atom
density: 8.71 Mg/m³

Lattice parameters (Å, degrees): 5.4682 9.7931 12.1873 106.10 90.00 90.00
Closest atoms and distances in Å follow each position.
Sites, in units of the cell vectors:
1 La 0.2500 0.1209 0.1468  3 La 3.16-3.40, 2 Tl 3.41
2 La 0.2500 0.8630 0.3375  3 Au 3.26-3.31, 3 Tl 3.45-3.58, 3 La 3.49-3.63
3 La 0.2500 0.0929 0.8822  1 Au 3.11, 3 La 3.16-3.40, 3 Tl 3.29-3.35
4 La 0.7500 0.3406 0.3246  1 Au 3.09, 5 Tl 3.29-3.46
5 La 0.7500 0.7799 0.5042  3 Au 3.30-3.40, 4 Tl 3.33-3.66, 3 La 3.49-3.63
6 La 0.7500 0.1370 0.6625  3 Au 3.26-3.31, 3 Tl 3.45-3.58, 3 La 3.49-3.63
7 La 0.2500 0.6594 0.6754  1 Au 3.09, 5 Tl 3.29-3.46
8 La 0.2500 0.2201 0.4958  3 Au 3.30-3.40, 4 Tl 3.33-3.66, 3 La 3.49-3.63
9 La 0.7500 0.8791 0.8532  3 La 3.16-3.40, 2 Tl 3.41
10 La 0.7500 0.5231 0.9072  7 Tl 3.31-3.70, 2 La 3.66
11 La 0.7500 0.9071 0.1178  1 Au 3.11, 3 La 3.16-3.40, 3 Tl 3.29-3.35
12 La 0.2500 0.4769 0.0928  7 Tl 3.31-3.70, 2 La 3.66
13 Tl 0.2500 0.7663 0.9705  10 La 3.35-3.65
14 Tl 0.2500 0.5334 0.3878  8 La 3.29-3.66, 2 Tl 3.67
15 Tl 0.7500 0.4666 0.6122  8 La 3.29-3.66, 2 Tl 3.67
16 Tl 0.7500 0.2337 0.0295  10 La 3.35-3.65
17 Tl 0.7500 0.6317 0.2230  7 La 3.29-3.58, 2 Tl 3.67
18 Tl 0.2500 0.3683 0.7770  7 La 3.29-3.58, 2 Tl 3.67
19 Au 0.7500 0.0507 0.3800  8 La 3.09-3.40
20 Au 0.2500 0.9493 0.6200  8 La 3.09-3.40

12.
A geometry-optimized ScSn2Ru structure, computed with PBE-GGA.

formation energy from the elements: -0.307 eV/atom
calculated volume: 20.290 Å³ per atom
density: 7.85 Mg/m³

Lattice parameters (Å, degrees): 4.4658 4.4658 5.3600 65.38 65.38 60.00
Closest atoms and distances in Å follow each position.
Sites, in units of the cell vectors:
1 Ru 0.5000 0.5000 0.5000  6 Sn 2.75
2 Sn 0.2342 0.2342 0.2975  3 Ru 2.75, 3 Sc 2.93
3 Sn 0.7658 0.7658 0.7025  3 Ru 2.75, 3 Sc 2.93
4 Sc 0.0000 0.0000 0.0000  6 Sn 2.93